Material: NaCoC4O4
Method: DFT, PBE+U
State: relaxed

a = 5.4908 Å, b = 13.4268 Å, c = 9.0430 Å
α = 90.00°, β = 90.00°, γ = 90.00°
Closest atoms and distances in Å follow each position.
Element x y z (fractional)
Na (0.0903, 0.0800, 0.2500)  4 O 2.29-2.31
Na (0.0903, 0.4200, 0.7500)  4 O 2.29-2.31
Na (0.9097, 0.5800, 0.2500)  4 O 2.29-2.31
Na (0.9097, 0.9200, 0.7500)  4 O 2.29-2.31
Co (0.3076, 0.6232, 0.7500)  4 C 1.72-1.73
Co (0.3076, 0.8768, 0.2500)  4 C 1.72-1.73
Co (0.6924, 0.1232, 0.7500)  4 C 1.72-1.73
Co (0.6924, 0.3768, 0.2500)  4 C 1.72-1.73
C (0.1260, 0.6257, 0.5932)  1 O 1.17
C (0.1260, 0.6257, 0.9068)  1 O 1.17
C (0.1260, 0.8743, 0.0932)  1 O 1.17
C (0.1260, 0.8743, 0.4068)  1 O 1.17
C (0.4701, 0.0324, 0.7500)  1 O 1.17
C (0.4701, 0.4676, 0.2500)  1 O 1.17
C (0.4921, 0.7274, 0.7500)  1 O 1.17
C (0.4921, 0.7726, 0.2500)  1 O 1.17
C (0.5079, 0.2274, 0.7500)  1 O 1.17
C (0.5079, 0.2726, 0.2500)  1 O 1.17
C (0.5299, 0.5324, 0.7500)  1 O 1.17
C (0.5299, 0.9676, 0.2500)  1 O 1.17
C (0.8740, 0.1257, 0.5932)  1 O 1.17
C (0.8740, 0.1257, 0.9068)  1 O 1.17
C (0.8740, 0.3743, 0.0932)  1 O 1.17
C (0.8740, 0.3743, 0.4068)  1 O 1.17
O (0.0005, 0.6292, 0.0118)  1 C 1.17
O (0.0005, 0.6292, 0.4882)  1 C 1.17
O (0.0005, 0.8708, 0.5118)  1 C 1.17
O (0.0005, 0.8708, 0.9882)  1 C 1.17
O (0.3053, 0.5234, 0.2500)  1 C 1.17
O (0.3053, 0.9766, 0.7500)  1 C 1.17
O (0.3735, 0.2050, 0.2500)  1 C 1.17
O (0.3735, 0.2950, 0.7500)  1 C 1.17
O (0.6265, 0.7050, 0.2500)  1 C 1.17
O (0.6265, 0.7950, 0.7500)  1 C 1.17
O (0.6947, 0.0234, 0.2500)  1 C 1.17
O (0.6947, 0.4766, 0.7500)  1 C 1.17
O (0.9995, 0.1292, 0.0118)  1 C 1.17
O (0.9995, 0.1292, 0.4882)  1 C 1.17
O (0.9995, 0.3708, 0.5118)  1 C 1.17
O (0.9995, 0.3708, 0.9882)  1 C 1.17

Calculated values
The final energy comes out at -280.113 eV for the cell shown. For the volume, the calculation gives 666.7 Å³/cell.